{"formula": "EuErCd2", "functional": "PBE", "state": "relaxed", "cell": [[3.8110, 0.0000, 0.0000], [0.0000, 3.8110, 0.0000], [0.0000, 0.0000, 7.6829]], "species": ["Eu", "Er", "Cd", "Cd"], "frac_coords": [[0.0000, 0.0000, 0.0000], [0.0000, 0.0000, 0.5000], [0.5000, 0.5000, 0.2756], [0.5000, 0.5000, 0.7244]], "e_above_lowest_polymorph_ev_per_atom": 0.000, "e_form_mev_per_atom": -325.8}

{"formula": "MnHgRu", "functional": "PBE", "state": "relaxed", "cell": [[4.3263, 0.0000, 0.0000], [-2.1631, 3.7466, 0.0000], [0.0000, 0.0000, 3.0483]], "species": ["Mn", "Hg", "Ru"], "frac_coords": [[0.0000, 0.0000, 0.0000], [0.3333, 0.6667, 0.5000], [0.6667, 0.3333, 0.0000]], "e_above_lowest_polymorph_ev_per_atom": 0.211, "e_form_mev_per_atom": 495.1}

{"formula": "MgTlAsCl6", "functional": "PBE", "state": "relaxed", "cell": [[6.5754, 0.0000, 0.0000], [-3.2877, 5.6944, 0.0000], [0.0000, 0.0000, 7.1629]], "species": ["Mg", "Tl", "As", "Cl", "Cl", "Cl", "Cl", "Cl", "Cl"], "frac_coords": [[0.0000, 0.0000, 0.0000], [0.6667, 0.3333, 0.5000], [0.3333, 0.6667, 0.0000], [0.0382, 0.3337, 0.2010], [0.0382, 0.7045, 0.7990], [0.2955, 0.3337, 0.7990], [0.2955, 0.9618, 0.2010], [0.6663, 0.7045, 0.2010], [0.6663, 0.9618, 0.7990]], "formation_energy_uncorrected_ev_per_atom": -1.142}

no.,DFT total energy (eV per atom),DOS at the Fermi energy (states/eV per cell)
1,-4.493,8.94
2,-5.754,3.58
3,-3.330,0.00